Y3Pb2O after structural relaxation. Source: Alexandria via LeMat-Bulk, functional PBE.

Summary:
Raw total energy, eV/cell: -156.43
Formation energy (no corrections), eV per atom: -1.223
D(E_F), states/eV/f.u.: 2.96

Cell and atoms, written as CIF:
```
data_Y3Pb2O
_space_group_name_H-M_alt 'C m c m'
_space_group_IT_number 63
_space_group_name_Hall '-C 2c 2'
_cell_length_a 10.723
_cell_length_b 8.669
_cell_length_c 6.552
_cell_angle_alpha 90.00
_cell_angle_beta 90.00
_cell_angle_gamma 90.00
loop_
_atom_site_label
_atom_site_fract_x
_atom_site_fract_y
_atom_site_fract_z
Y1 0.000 0.163 0.250
Y2 0.157 0.500 0.000
Pb1 0.146 0.186 0.750
O1 0.000 0.426 0.250
```